Entry 1:
Crystalline BaTa2Tc at its relaxed geometry. Source: Alexandria via LeMat-Bulk, functional PBE.

The structure in POSCAR format:
```
BaTa2Tc
1.0
3.242 0.000 0.000
0.000 4.974 0.000
0.000 0.000 5.077
Ba Ta Tc
1 2 1
direct
0.000 0.000 0.000
0.000 0.500 0.500
0.500 0.500 0.000
0.500 0.000 0.500
```

Properties
Energy of formation from the pure elements (eV per formula unit): 4.56
E_tot (eV per atom): -7.8581
Symmetry: No. 47

---

Entry 2:
Crystalline BaTa3Tc at its relaxed geometry. Source: Alexandria via LeMat-Bulk, functional PBE.

The structure in POSCAR format:
```
BaTa3Tc
1.0
4.989 0.000 0.000
0.000 4.989 0.000
0.000 0.000 4.989
Ba Ta Tc
1 3 1
direct
0.000 0.000 0.000
0.000 0.500 0.500
0.500 0.000 0.500
0.500 0.500 0.000
0.500 0.500 0.500
```

Properties
Energy of formation from the pure elements (eV per formula unit): 5.23
E_tot (eV per atom): -8.5229
Symmetry: No. 221

---

Entry 3:
Crystalline BaTaTc at its relaxed geometry. Source: Alexandria via LeMat-Bulk, functional PBE.

The structure in POSCAR format:
```
BaTaTc
1.0
4.228 0.000 0.000
-2.114 3.661 0.000
0.000 0.000 5.632
Ba Ta Tc
1 1 1
direct
0.000 0.000 0.000
0.667 0.333 0.500
0.333 0.667 0.500
```

Properties
Energy of formation from the pure elements (eV per formula unit): 2.13
E_tot (eV per atom): -7.3360
Symmetry: No. 187

---

Entry 4:
Crystalline BaTa2Tc at its relaxed geometry. Source: Alexandria via LeMat-Bulk, functional PBE.

The structure in POSCAR format:
```
BaTa2Tc
1.0
-1.536 2.809 5.323
1.536 -2.809 5.323
1.536 2.809 -5.323
Ba Ta Tc
1 2 1
direct
0.000 0.000 0.000
0.301 0.801 0.500
0.699 0.199 0.500
0.500 0.500 0.000
```

Properties
Energy of formation from the pure elements (eV per formula unit): 3.47
E_tot (eV per atom): -8.1301
Symmetry: No. 71

---

Entry 5:
Crystalline BaTa2Tc at its relaxed geometry. Source: Alexandria via LeMat-Bulk, functional PBE.

The structure in POSCAR format:
```
BaTa2Tc
1.0
3.233 0.000 0.000
0.000 3.233 0.000
0.000 0.000 8.704
Ba Ta Tc
1 2 1
direct
0.000 0.000 0.000
0.000 0.000 0.551
0.500 0.500 0.348
0.500 0.500 0.706
```

Properties
Energy of formation from the pure elements (eV per formula unit): 1.93
E_tot (eV per atom): -8.5166
Symmetry: No. 99

---

Entry 6:
Crystalline BaTaTc2Te at its relaxed geometry. Source: Alexandria via LeMat-Bulk, functional PBE.

The structure in POSCAR format:
```
BaTaTc2Te
1.0
4.937 0.000 0.000
0.000 4.937 0.000
0.000 0.000 5.675
Ba Ta Tc Te
1 1 2 1
direct
0.000 0.000 0.000
0.500 0.500 0.500
0.000 0.500 0.500
0.500 0.000 0.500
0.500 0.500 0.000
```

Properties
E_form (uncorrected) (kJ/mol of formula units): 372
E_tot (eV per atom): -6.7579
Symmetry: No. 123

---

Entry 7:
Crystalline BaTa2Te at its relaxed geometry. Source: Alexandria via LeMat-Bulk, functional PBE.

The structure in POSCAR format:
```
BaTa2Te
1.0
3.605 0.000 0.000
0.000 5.204 0.000
0.000 0.000 5.257
Ba Ta Te
1 2 1
direct
0.000 0.000 0.000
0.000 0.500 0.500
0.500 0.500 0.000
0.500 0.000 0.500
```

Properties
E_form (uncorrected) (kJ/mol of formula units): 339
E_tot (eV per atom): -6.3145
Symmetry: No. 47

---

Entry 8:
Crystalline BaTa2Te at its relaxed geometry. Source: Alexandria via LeMat-Bulk, functional PBE.

The structure in POSCAR format:
```
BaTa2Te
1.0
-2.455 2.455 10.307
2.455 -2.455 10.307
2.455 2.455 -10.307
Ba Ta Te
2 4 2
direct
0.000 0.000 0.000
0.750 0.250 0.500
0.300 0.625 0.175
0.375 0.550 0.675
0.450 0.125 0.825
0.875 0.700 0.325
0.250 0.750 0.500
0.500 0.500 0.000
```

Properties
E_form (uncorrected) (kJ/mol of formula units): 258
E_tot (eV per atom): -6.5227
Symmetry: No. 122

---

Entry 9:
Crystalline Ba3TaTe at its relaxed geometry. Source: Alexandria via LeMat-Bulk, functional PBE.

The structure in POSCAR format:
```
Ba3TaTe
1.0
5.963 0.000 0.000
0.000 5.963 0.000
0.000 0.000 5.963
Ba Ta Te
3 1 1
direct
0.000 0.000 0.500
0.000 0.500 0.000
0.500 0.000 0.000
0.000 0.000 0.000
0.500 0.500 0.500
```

Properties
E_form (uncorrected) (kJ/mol of formula units): 169
E_tot (eV per atom): -3.8031
Symmetry: No. 221

---

Entry 10:
Crystalline BaTa2Te at its relaxed geometry. Source: Alexandria via LeMat-Bulk, functional PBE.

The structure in POSCAR format:
```
BaTa2Te
1.0
5.165 -1.751 0.000
5.165 1.751 0.000
-1.125 0.000 5.932
Ba Ta Te
1 2 1
direct
0.000 0.000 0.000
0.232 0.232 0.656
0.768 0.768 0.344
0.500 0.500 0.500
```

Properties
E_form (uncorrected) (kJ/mol of formula units): 193
E_tot (eV per atom): -6.6922
Symmetry: No. 12

---

Entry 11:
Crystalline BaTa2Te at its relaxed geometry. Source: Alexandria via LeMat-Bulk, functional PBE.

The structure in POSCAR format:
```
BaTa2Te
1.0
3.734 0.000 0.000
0.000 3.734 0.000
0.000 0.000 7.502
Ba Ta Te
1 2 1
direct
0.000 0.000 0.000
0.500 0.500 0.331
0.500 0.500 0.669
0.000 0.000 0.500
```

Properties
E_form (uncorrected) (kJ/mol of formula units): 245
E_tot (eV per atom): -6.5587
Symmetry: No. 123

---

Entry 12:
Crystalline BaTa2Te at its relaxed geometry. Source: Alexandria via LeMat-Bulk, functional PBE.

The structure in POSCAR format:
```
BaTa2Te
1.0
-2.215 2.215 5.166
2.215 -2.215 5.166
2.215 2.215 -5.166
Ba Ta Te
1 2 1
direct
0.000 0.000 0.000
0.250 0.750 0.500
0.750 0.250 0.500
0.500 0.500 0.000
```

Properties
E_form (uncorrected) (kJ/mol of formula units): 372
E_tot (eV per atom): -6.2296
Symmetry: No. 139